Compound: RbAlFe2F2
Source: Alexandria
Functional: PBE with a Hubbard U
Structure: optimized geometry

Output
Space group: P4/mbm (127)
E (eV/atom): -3.97

a b c (Å): 6.505 6.505 6.777
angles (deg): 90.00 90.00 90.00
Atoms (fractional coordinates):
Rb: 0.000 0.500 0.000
Rb: 0.500 0.000 0.000
Al: 0.000 0.000 0.500
Al: 0.500 0.500 0.500
Fe: 0.142 0.358 0.500
Fe: 0.358 0.858 0.500
Fe: 0.642 0.142 0.500
Fe: 0.858 0.642 0.500
F: 0.000 0.000 0.227
F: 0.000 0.000 0.773
F: 0.500 0.500 0.227
F: 0.500 0.500 0.773